# K4CrO4, optimized geometry, DFT PBE with a Hubbard U
# **Polymorph energy (0 for the lowest one)**: 0.0 meV per atom
# **Space group**: P-1
# **Density**: 2.60 g/cm3
# **Uncorrected energy**: -5.0874 eV per atom
# **DOS(E_F)**: 0.00 states/eV per atom
data_K4CrO4
_chemical_formula_sum 'K8 Cr2 O8'
_cell_length_a 6.4270
_cell_length_b 6.4877
_cell_length_c 9.5276
_cell_angle_alpha 72.41
_cell_angle_beta 80.18
_cell_angle_gamma 66.90
_symmetry_space_group_name_H-M 'P 1'
_symmetry_Int_Tables_number 1
_symmetry_space_group_name_Hall 'P 1'
loop_
_atom_site_label
_atom_site_type_symbol
_atom_site_fract_x
_atom_site_fract_y
_atom_site_fract_z
K1 K 0.2254 0.4600 0.1189
K2 K 0.2412 0.9177 0.3421
K3 K 0.2530 0.2721 0.5298
K4 K 0.2729 0.0131 0.9366
K5 K 0.7271 0.9869 0.0634
K6 K 0.7470 0.7279 0.4702
K7 K 0.7588 0.0823 0.6579
K8 K 0.7746 0.5400 0.8811
Cr1 Cr 0.2680 0.6562 0.7476
Cr2 Cr 0.7320 0.3438 0.2524
O1 O 0.0456 0.7896 0.8761
O2 O 0.1160 0.6684 0.5994
O3 O 0.4425 0.8352 0.6898
O4 O 0.4425 0.3622 0.8407
O5 O 0.5575 0.6378 0.1593
O6 O 0.5575 0.1648 0.3102
O7 O 0.8840 0.3316 0.4006
O8 O 0.9544 0.2104 0.1239